# 1
Compound: FeIr2Os
Source: the Alexandria database
Functional: PBE
Structure: relaxed

Structure (POSCAR):
```
FeIr2Os
1.0
4.482 -1.353 0.000
4.482 1.353 0.000
-0.820 0.000 4.574
Fe Ir Os
1 2 1
direct
0.000 0.000 0.000
0.251 0.251 0.752
0.749 0.749 0.248
0.500 0.500 0.500
```

Values from the calculation:
Space-group type ... No. 12
Energy above the lowest structure with this stoichiometry ... 0.047 eV/atom

# 2
Compound: FeIr12Os3
Source: the Alexandria database
Functional: PBE
Structure: relaxed

Structure (POSCAR):
```
FeIr12Os3
1.0
3.860 0.000 0.000
0.000 3.860 0.000
0.000 0.000 15.443
Fe Ir Os
1 12 3
direct
0.000 0.000 0.000
0.000 0.500 0.124
0.000 0.500 0.375
0.000 0.500 0.625
0.000 0.500 0.876
0.500 0.000 0.124
0.500 0.000 0.375
0.500 0.000 0.625
0.500 0.000 0.876
0.500 0.500 0.000
0.500 0.500 0.250
0.500 0.500 0.500
0.500 0.500 0.750
0.000 0.000 0.246
0.000 0.000 0.500
0.000 0.000 0.754
```

Values from the calculation:
Space-group type ... No. 123
Total energy ... -9.276 eV/atom

# 3
Compound: FeIrOs2
Source: the Alexandria database
Functional: PBE
Structure: relaxed

Structure (POSCAR):
```
FeIrOs2
1.0
4.457 -1.352 0.000
4.457 1.352 0.000
-0.809 0.000 4.578
Fe Ir Os
1 1 2
direct
0.000 0.000 0.000
0.751 0.751 0.242
0.250 0.250 0.748
0.501 0.501 0.510
```

Values from the calculation:
Space-group type ... No. 8
Energy above the lowest structure with this stoichiometry ... 0.051 eV/atom

# 4
Compound: FeIrOs2
Source: the Alexandria database
Functional: PBE
Structure: relaxed

Structure (POSCAR):
```
FeIrOs2
1.0
2.746 0.000 0.000
0.000 4.540 0.000
0.000 0.000 4.582
Fe Ir Os
1 1 2
direct
0.000 0.000 0.000
0.500 0.500 0.000
0.000 0.500 0.500
0.500 0.000 0.500
```

Values from the calculation:
Space-group type ... No. 47
Energy above the lowest structure with this stoichiometry ... 0.405 eV/atom

# 5
Compound: Fe2IrOs2
Source: the Alexandria database
Functional: PBE
Structure: relaxed

Structure (POSCAR):
```
Fe2IrOs2
1.0
6.985 0.000 0.000
0.000 6.985 0.000
0.000 0.000 2.677
Fe Ir Os
4 2 4
direct
0.120 0.380 0.000
0.380 0.880 0.000
0.620 0.120 0.000
0.880 0.620 0.000
0.000 0.000 0.000
0.500 0.500 0.000
0.174 0.674 0.500
0.326 0.174 0.500
0.674 0.826 0.500
0.826 0.326 0.500
```

Values from the calculation:
Space-group type ... No. 127
Energy above the lowest structure with this stoichiometry ... 0.000 eV/atom

# 6
Compound: FeIr4Os3
Source: the Alexandria database
Functional: PBE
Structure: relaxed

Structure (POSCAR):
```
FeIr4Os3
1.0
10.887 -1.358 0.000
10.887 1.358 0.000
-0.283 0.000 4.285
Fe Ir Os
1 4 3
direct
0.000 0.000 0.000
0.101 0.101 0.633
0.171 0.171 0.151
0.829 0.829 0.849
0.899 0.899 0.367
0.290 0.290 0.339
0.500 0.500 0.500
0.710 0.710 0.661
```

Values from the calculation:
Space-group type ... No. 12
Total energy ... -9.294 eV/atom

| no. | Fermi-level density of states (states/eV/atom) |
| --- | --- |
| 1 | 1.056 |
| 2 | 0.952 |
| 3 | 1.080 |
| 4 | 1.302 |
| 5 | 0.955 |
| 6 | 1.028 |